# 1
Sc2AlTe, optimized geometry, DFT PBE; space-group type = R-3m (166); relative energy among the computed polymorphs = 0.0 meV per atom; D(E_F) = 1.98 states/eV per cell; E_tot = -5.52 eV/atom; ΔE_f (raw) = -0.629 eV per atom
1.0
-3.5285 1.4237 -0.3993
-2.8435 -1.2907 2.2103
-0.5745 5.3283 5.6930
Sc Te Al
2 1 1
Direct
0.9984 0.9984 0.0053 Sc
0.5016 0.5016 0.4947 Sc
0.7500 0.7500 0.7500 Te
0.2500 0.2500 0.2500 Al

---

# 2
U2Si4OsRh3, optimized geometry, DFT PBE; space-group type = P-4m2 (115); D(E_F) = 15.84 states/eV per cell; E_tot = -8.46 eV/atom; ΔE_f (raw) = -0.704 eV per atom
1.0
-1.8230 3.4519 -1.3820
-3.0118 -0.4683 2.8033
5.0985 5.2358 6.3524
U Si Os Rh
2 4 1 3
Direct
0.5000 0.0000 0.2471 U
0.0000 0.5000 0.7529 U
0.5000 0.5000 0.0000 Si
0.0000 0.0000 0.0000 Si
0.5000 0.0000 0.6296 Si
0.0000 0.5000 0.3704 Si
0.5000 0.5000 0.5000 Os
0.0000 0.0000 0.5000 Rh
0.5000 0.0000 0.8734 Rh
0.0000 0.5000 0.1266 Rh

---

# 3
Pr2ErAl6, optimized geometry, DFT PBE; space-group type = P6/mmm (191); energy relative to the elements = -459 meV/atom; relative energy among the computed polymorphs = 0.0 meV per atom; D(E_F) = 4.33 states/eV per cell; E_tot = -4.52 eV/atom
1.0
3.6637 0.0000 0.0000
0.0000 6.9015 -3.9846
0.0000 0.0000 7.9691
Pr Er Al
2 1 6
Direct
0.0000 0.3333 0.6667 Pr
0.0000 0.6667 0.3333 Pr
0.0000 0.0000 0.0000 Er
0.5000 0.3302 0.3302 Al
0.5000 0.6698 0.6698 Al
0.5000 0.0000 0.6698 Al
0.5000 0.6698 0.0000 Al
0.5000 0.3302 0.0000 Al
0.5000 0.0000 0.3302 Al

---

# 4
NdTmPu2As4, optimized geometry, DFT PBE; space-group type = P2/m (10); energy relative to the elements = -1253 meV/atom; D(E_F) = 21.70 states/eV per cell; E_tot = -8.32 eV/atom
1.0
4.1600 0.0000 0.0000
0.0000 7.1619 -0.1278
0.0000 2.5342 6.7417
Nd Tm Pu As
1 1 2 4
Direct
0.5000 0.5000 0.0000 Nd
0.0000 0.5000 0.5000 Tm
0.0000 0.0000 0.0000 Pu
0.5000 0.0000 0.5000 Pu
0.0000 0.7579 0.7409 As
0.0000 0.2421 0.2591 As
0.5000 0.7531 0.2553 As
0.5000 0.2469 0.7447 As

---

# 5
YAl2Ag, optimized geometry, DFT PBE; space-group type = Pmmm (47); energy relative to the elements = -261 meV/atom; D(E_F) = 2.19 states/eV per cell; E_tot = -4.46 eV/atom
1.0
4.5639 0.0000 0.0000
0.0000 3.3865 -0.0472
0.0000 0.0716 5.5407
Y Al Ag
1 2 1
Direct
0.5000 0.2500 0.2500 Y
0.0000 0.7493 0.0015 Al
0.0000 0.7507 0.4985 Al
0.5000 0.7500 0.7500 Ag

---

# 6
Sr2YPb, optimized geometry, DFT PBE; space-group type = F-43m (216); energy relative to the elements = -56 meV/atom; D(E_F) = 3.52 states/eV per cell; E_tot = -3.44 eV/atom
1.0
5.8845 0.0000 0.0000
2.9423 5.0961 0.0000
2.9423 1.6987 4.8047
Pb Sr Y
1 2 1
Direct
0.5000 0.5000 0.5000 Pb
0.0000 0.0000 0.0000 Sr
0.2500 0.2500 0.2500 Sr
0.7500 0.7500 0.7500 Y

---

# 7
Ba6HPd, optimized geometry, DFT PBE; space-group type = C2/m (12); D(E_F) = 7.34 states/eV per cell; E_tot = -2.73 eV/atom
1.0
-1.5370 6.7868 -3.6529
-0.9084 -6.8752 -3.6976
-6.1858 -0.2998 4.6385
Ba H Pd
6 1 1
Direct
0.6017 0.9148 0.7515 Ba
0.9148 0.6017 0.7515 Ba
0.0852 0.3983 0.2485 Ba
0.3983 0.0852 0.2485 Ba
0.2488 0.2488 0.7548 Ba
0.7512 0.7512 0.2452 Ba
0.0000 0.0000 0.0000 H
0.5000 0.5000 0.5000 Pd

---

# 8
LiTeRu2, optimized geometry, DFT PBE; space-group type = P4mm (99); D(E_F) = 4.49 states/eV per cell; E_tot = -5.64 eV/atom; ΔE_f (raw) = 0.264 eV per atom
1.0
2.9897 0.0113 0.0000
-0.0114 2.9897 0.0000
0.0000 0.0000 7.8688
Li Ru Te
1 2 1
Direct
0.5000 0.5000 0.7870 Li
0.0000 0.0000 0.0237 Ru
0.5000 0.5000 0.2124 Ru
0.0000 0.0000 0.4768 Te

---

# 9
ScNb2PdN, optimized geometry, DFT PBE; space-group type = P4/mmm (123); D(E_F) = 3.63 states/eV per cell; E_tot = -8.71 eV/atom; ΔE_f (raw) = -0.708 eV per atom
1.0
4.2213 0.0000 0.0000
0.0000 4.2213 0.0000
0.0000 0.0000 4.4381
Sc Nb Pd N
1 2 1 1
Direct
0.0000 0.0000 0.5000 Sc
0.0000 0.5000 0.0000 Nb
0.5000 0.0000 0.0000 Nb
0.5000 0.5000 0.5000 Pd
0.0000 0.0000 0.0000 N

---

# 10
ZrMo2Ir, optimized geometry, DFT PBE; space-group type = Imm2 (44); energy relative to the elements = -106 meV/atom; relative energy among the computed polymorphs = 90.5 meV per atom; D(E_F) = 4.44 states/eV per cell; E_tot = -9.87 eV/atom
1.0
5.2774 -0.0043 0.0027
2.2223 4.7866 -0.0027
-3.2336 -3.2007 2.6739
Ir Mo Zr
1 2 1
Direct
0.2429 0.7429 0.5000 Ir
0.9921 0.9921 0.0000 Mo
0.7630 0.2630 0.5000 Mo
0.5019 0.5019 0.0000 Zr

---

# 11
Sr2SnRh4Pb3, optimized geometry, DFT PBE; space-group type = P-4m2 (115); energy relative to the elements = -383 meV/atom; D(E_F) = 3.50 states/eV per cell; E_tot = -5.17 eV/atom
1.0
-3.5277 1.8628 -2.4121
1.7417 -1.7956 -3.9338
-5.9057 -9.1575 1.5651
Sr Sn Rh Pb
2 1 4 3
Direct
0.5000 0.0000 0.2434 Sr
0.0000 0.5000 0.7566 Sr
0.5000 0.5000 0.5000 Sn
0.5000 0.5000 0.0000 Rh
0.0000 0.0000 0.0000 Rh
0.5000 0.0000 0.6267 Rh
0.0000 0.5000 0.3733 Rh
0.0000 0.0000 0.5000 Pb
0.5000 0.0000 0.8719 Pb
0.0000 0.5000 0.1281 Pb

---

# 12
ThCoHg, optimized geometry, DFT PBE; space-group type = C2/m (12); energy relative to the elements = -130 meV/atom; D(E_F) = 5.36 states/eV per cell; E_tot = -5.07 eV/atom
1.0
3.6099 0.0000 0.0000
-1.8050 5.0123 0.3948
0.0000 -0.8309 7.4758
Th Hg Co
2 2 2
Direct
0.1376 0.2752 0.6523 Th
0.8624 0.7248 0.3477 Th
0.1344 0.2688 0.1028 Hg
0.8656 0.7312 0.8972 Hg
0.4120 0.8240 0.6205 Co
0.5880 0.1760 0.3795 Co

---

Copy entry 5 word for word.
YAl2Ag, optimized geometry, DFT PBE; space-group type = Pmmm (47); energy relative to the elements = -261 meV/atom; D(E_F) = 2.19 states/eV per cell; E_tot = -4.46 eV/atom
1.0
4.5639 0.0000 0.0000
0.0000 3.3865 -0.0472
0.0000 0.0716 5.5407
Y Al Ag
1 2 1
Direct
0.5000 0.2500 0.2500 Y
0.0000 0.7493 0.0015 Al
0.0000 0.7507 0.4985 Al
0.5000 0.7500 0.7500 Ag

---

Q: Which formula does entry 6 have?
A: Sr2YPb